No. 1
{"formula": "NiBWAu", "functional": "PBE-GGA", "state": "optimized geometry", "e_tot_ev_per_atom": -6.505, "spacegroup": "F-43m, No. 216", "crystal_system": "cubic", "lattice_angstrom": [[0.000, 2.935, 2.935], [2.935, 0.000, 2.935], [2.935, 2.935, 0.000]], "species": ["B", "Ni", "Au", "W"], "frac_coords": [[0.000, 0.000, 0.000], [0.500, 0.500, 0.500], [0.750, 0.750, 0.750], [0.250, 0.250, 0.250]]}

No. 2
{"formula": "LiTaGeO5", "functional": "PBE-GGA", "state": "optimized geometry", "e_tot_ev_per_atom": -7.714, "spacegroup": "P2_1/c, No. 14", "crystal_system": "monoclinic", "lattice_angstrom": [[7.605, 0.000, 0.005], [0.000, 8.065, 0.000], [-3.725, 0.000, 6.539]], "species": ["Ta", "O", "O", "Ta", "O", "O", "Ta", "Li", "O", "Li", "Ta", "O", "O", "Ge", "O", "O", "O", "Ge", "O", "O", "O", "O", "Li", "O", "O", "Li", "O", "Ge", "Ge", "O", "O", "O"], "frac_coords": [[0.749, 0.758, 0.506], [0.248, 0.490, 0.063], [0.448, 0.742, 0.849], [0.749, 0.742, 0.006], [0.949, 0.258, 0.349], [0.552, 0.242, 0.651], [0.251, 0.242, 0.494], [0.250, 0.558, 0.709], [0.249, 0.318, 0.747], [0.750, 0.442, 0.291], [0.251, 0.258, 0.994], [0.746, 0.991, 0.049], [0.051, 0.742, 0.651], [0.750, 0.113, 0.243], [0.746, 0.509, 0.549], [0.751, 0.682, 0.253], [0.249, 0.182, 0.247], [0.250, 0.613, 0.257], [0.949, 0.242, 0.849], [0.248, 0.010, 0.563], [0.751, 0.818, 0.753], [0.051, 0.758, 0.151], [0.250, 0.942, 0.209], [0.752, 0.990, 0.437], [0.254, 0.009, 0.951], [0.750, 0.058, 0.791], [0.254, 0.491, 0.451], [0.250, 0.887, 0.757], [0.750, 0.387, 0.743], [0.552, 0.258, 0.151], [0.752, 0.510, 0.937], [0.448, 0.758, 0.349]]}

No. 3
{"formula": "BaIrOs", "functional": "PBE-GGA", "state": "optimized geometry", "e_tot_ev_per_atom": -5.007, "spacegroup": "F-43m, No. 216", "crystal_system": "cubic", "lattice_angstrom": [[0.354, -4.488, 1.438], [-3.354, -3.123, -1.155], [0.930, -3.417, -3.129]], "species": ["Os", "Ba", "Ir"], "frac_coords": [[0.750, 0.750, 0.750], [0.000, 0.000, 0.000], [0.250, 0.250, 0.250]]}

No. 4
{"formula": "Tm3ZrC2S2", "functional": "PBE-GGA", "state": "optimized geometry", "e_tot_ev_per_atom": -7.382, "spacegroup": "P3m1, No. 156", "crystal_system": "trigonal", "lattice_angstrom": [[-1.316, 1.441, 2.999], [2.213, -2.805, 0.185], [9.838, 7.799, 0.569]], "species": ["Tm", "S", "S", "Zr", "Tm", "Tm", "C", "C"], "frac_coords": [[0.667, 0.333, 0.899], [0.667, 0.333, 0.242], [0.000, 0.000, 0.753], [0.000, 0.000, 0.102], [0.667, 0.333, 0.604], [0.000, 0.000, 0.395], [0.333, 0.667, 0.498], [0.333, 0.667, 0.008]]}

No. 5
{"formula": "ScIn2Cu5", "functional": "PBE-GGA", "state": "optimized geometry", "e_tot_ev_per_atom": -3.895, "spacegroup": "P4/mmm, No. 123", "crystal_system": "tetragonal", "lattice_angstrom": [[-2.834, -0.107, -3.417], [3.100, -1.952, -2.510], [-2.023, -5.596, 1.853]], "species": ["Cu", "Sc", "Cu", "Cu", "In", "Cu", "Cu", "In"], "frac_coords": [[0.500, 0.000, 0.765], [0.000, 0.000, 0.500], [0.000, 0.500, 0.235], [0.500, 0.500, 0.000], [0.500, 0.500, 0.500], [0.500, 0.000, 0.235], [0.000, 0.500, 0.765], [0.000, 0.000, 0.000]]}

No. 6
{"formula": "GdBi", "functional": "PBE-GGA", "state": "optimized geometry", "e_tot_ev_per_atom": -4.735, "spacegroup": "F-43m, No. 216", "crystal_system": "cubic", "lattice_angstrom": [[0.000, 3.547, 3.547], [3.547, 0.000, 3.547], [3.547, 3.547, 0.000]], "species": ["Bi", "Gd"], "frac_coords": [[0.000, 0.000, 0.000], [0.250, 0.250, 0.250]]}

No. 7
{"formula": "Gd2SiAu", "functional": "PBE-GGA", "state": "optimized geometry", "e_tot_ev_per_atom": -5.272, "spacegroup": "P2_1/m, No. 11", "crystal_system": "monoclinic", "lattice_angstrom": [[-0.119, -5.141, 2.656], [1.668, -1.724, -3.263], [7.405, 1.829, 2.818]], "species": ["Au", "Si", "Gd", "Gd", "Si", "Au", "Gd", "Gd"], "frac_coords": [[0.344, 0.250, 0.551], [0.127, 0.250, 0.037], [0.364, 0.750, 0.829], [0.636, 0.250, 0.171], [0.873, 0.750, 0.963], [0.656, 0.750, 0.449], [0.871, 0.250, 0.684], [0.129, 0.750, 0.316]]}

No. 8
{"formula": "LiDyNp", "functional": "PBE-GGA", "state": "optimized geometry", "e_tot_ev_per_atom": -5.427, "spacegroup": "F-43m, No. 216", "crystal_system": "cubic", "lattice_angstrom": [[0.000, 3.472, 3.472], [3.472, 0.000, 3.472], [3.472, 3.472, 0.000]], "species": ["Np", "Dy", "Li"], "frac_coords": [[0.500, 0.500, 0.500], [0.000, 0.000, 0.000], [0.750, 0.750, 0.750]]}

No. 9
{"formula": "DyTmSnC", "functional": "PBE-GGA", "state": "optimized geometry", "e_tot_ev_per_atom": -6.140, "spacegroup": "P-3m1, No. 164", "crystal_system": "trigonal", "lattice_angstrom": [[-1.419, 1.004, 3.143], [-2.107, -0.375, -2.884], [-2.420, -15.113, 3.735]], "species": ["Dy", "Sn", "Dy", "C", "Tm", "Sn", "Tm", "C"], "frac_coords": [[0.667, 0.333, 0.915], [0.333, 0.667, 0.748], [0.333, 0.667, 0.085], [0.000, 0.000, 0.500], [0.333, 0.667, 0.417], [0.667, 0.333, 0.252], [0.667, 0.333, 0.583], [0.000, 0.000, 0.000]]}

No. 10
{"formula": "PrZnCu", "functional": "PBE-GGA", "state": "optimized geometry", "formation_enthalpy_0k_mev_per_atom": 281, "spacegroup": "F-43m, No. 216", "crystal_system": "cubic", "lattice_angstrom": [[2.392, 1.381, 3.907], [-2.392, 1.381, 3.907], [0.000, -2.762, 3.907]], "species": ["Zn", "Pr", "Cu"], "frac_coords": [[0.750, 0.750, 0.750], [0.000, 0.000, 0.000], [0.250, 0.250, 0.250]]}

No. 11
{"formula": "HoPb", "functional": "PBE-GGA", "state": "optimized geometry", "e_tot_ev_per_atom": -4.453, "spacegroup": "P-6m2, No. 187", "crystal_system": "hexagonal", "lattice_angstrom": [[3.611, 0.000, 0.000], [-1.805, 3.127, 0.000], [0.000, 0.000, 5.125]], "species": ["Pb", "Ho"], "frac_coords": [[0.333, 0.667, 0.250], [0.667, 0.333, 0.750]]}

No. 12
{"formula": "PuHfPd", "functional": "PBE-GGA", "state": "optimized geometry", "formation_enthalpy_0k_mev_per_atom": 249, "spacegroup": "F-43m, No. 216", "crystal_system": "cubic", "lattice_angstrom": [[-3.581, 0.818, 2.757], [-4.211, -1.344, -1.246], [-2.046, -3.474, 2.199]], "species": ["Pd", "Pu", "Hf"], "frac_coords": [[0.250, 0.250, 0.250], [0.750, 0.750, 0.750], [0.000, 0.000, 0.000]]}

No. 13
{"formula": "PmNbAl", "functional": "PBE-GGA", "state": "optimized geometry", "e_tot_ev_per_atom": -5.506, "spacegroup": "F-43m, No. 216", "crystal_system": "cubic", "lattice_angstrom": [[-2.857, -0.115, 3.888], [-0.675, -4.146, 2.376], [1.918, -0.607, 4.387]], "species": ["Al", "Pm", "Nb"], "frac_coords": [[0.750, 0.750, 0.750], [0.250, 0.250, 0.250], [0.000, 0.000, 0.000]]}

No. 14
{"formula": "Y2Nb4Al3N3", "functional": "PBE-GGA", "state": "optimized geometry", "e_tot_ev_per_atom": -8.329, "spacegroup": "C2/c, No. 15", "crystal_system": "monoclinic", "lattice_angstrom": [[4.837, -2.800, 0.000], [4.837, 2.800, 0.000], [-3.278, 0.000, 13.922]], "species": ["N", "Nb", "Y", "Y", "Al", "Nb", "Nb", "Al", "Y", "Al", "Nb", "Nb", "Nb", "Al", "N", "N", "N", "N", "Al", "N", "Y", "Nb", "Al", "Nb"], "frac_coords": [[0.663, 0.172, 0.500], [0.022, 0.198, 0.579], [0.539, 0.377, 0.114], [0.377, 0.539, 0.614], [0.415, 0.098, 0.749], [0.694, 0.855, 0.579], [0.198, 0.022, 0.079], [0.902, 0.585, 0.751], [0.623, 0.461, 0.386], [0.585, 0.902, 0.251], [0.306, 0.145, 0.421], [0.145, 0.306, 0.921], [0.855, 0.694, 0.079], [0.098, 0.415, 0.249], [0.337, 0.828, 0.500], [0.500, 0.000, 0.000], [0.000, 0.500, 0.500], [0.828, 0.337, 0.000], [0.929, 0.071, 0.750], [0.172, 0.663, 0.000], [0.461, 0.623, 0.886], [0.802, 0.978, 0.921], [0.071, 0.929, 0.250], [0.978, 0.802, 0.421]]}

No. 15
{"formula": "LuZnInCo", "functional": "PBE-GGA", "state": "optimized geometry", "e_tot_ev_per_atom": -4.061, "spacegroup": "F-43m, No. 216", "crystal_system": "cubic", "lattice_angstrom": [[0.000, 3.275, 3.275], [3.275, 0.000, 3.275], [3.275, 3.275, 0.000]], "species": ["Zn", "Lu", "In", "Co"], "frac_coords": [[0.250, 0.250, 0.250], [0.500, 0.500, 0.500], [0.000, 0.000, 0.000], [0.750, 0.750, 0.750]]}

No. 16
{"formula": "Ni7As", "functional": "PBE-GGA", "state": "optimized geometry", "e_tot_ev_per_atom": -5.440, "spacegroup": "Pmmn, No. 59", "crystal_system": "orthorhombic", "lattice_angstrom": [[2.543, 0.000, 0.000], [0.000, 3.472, 0.000], [0.000, 0.000, 32.869]], "species": ["Ni", "Ni", "Ni", "Ni", "Ni", "Ni", "As", "Ni", "Ni", "Ni", "As", "Ni", "Ni", "Ni", "Ni", "Ni"], "frac_coords": [[0.000, 0.000, 0.519], [0.500, 0.500, 0.407], [0.500, 0.500, 0.630], [0.500, 0.500, 0.705], [0.000, 0.000, 0.370], [0.500, 0.500, 0.332], [0.500, 0.500, 0.780], [0.500, 0.500, 0.556], [0.000, 0.000, 0.668], [0.000, 0.000, 0.593], [0.000, 0.000, 0.220], [0.000, 0.000, 0.745], [0.000, 0.000, 0.444], [0.500, 0.500, 0.255], [0.500, 0.500, 0.481], [0.000, 0.000, 0.295]]}

No. 17
{"formula": "Nd3Ga10Ni", "functional": "PBE-GGA", "state": "optimized geometry", "e_tot_ev_per_atom": -4.140, "spacegroup": "Pmmm, No. 47", "crystal_system": "orthorhombic", "lattice_angstrom": [[-3.049, 1.924, 2.219], [-1.464, -3.798, 1.282], [9.210, 0.558, 12.172]], "species": ["Ga", "Ga", "Ga", "Ga", "Ga", "Nd", "Ga", "Nd", "Nd", "Ga", "Ni", "Ga", "Ga", "Ga"], "frac_coords": [[0.000, 0.500, 0.084], [0.500, 0.000, 0.916], [0.500, 0.000, 0.084], [0.000, 0.500, 0.916], [0.500, 0.500, 0.659], [0.000, 0.000, 0.246], [0.500, 0.500, 0.817], [0.000, 0.000, 0.754], [0.000, 0.500, 0.500], [0.500, 0.000, 0.581], [0.000, 0.000, 0.000], [0.500, 0.500, 0.183], [0.500, 0.500, 0.341], [0.500, 0.000, 0.419]]}

No. 18
{"formula": "Ta2Nb4Sn3C3", "functional": "PBE-GGA", "state": "optimized geometry", "e_tot_ev_per_atom": -9.048, "spacegroup": "C2/c, No. 15", "crystal_system": "monoclinic", "lattice_angstrom": [[2.343, 5.068, -0.955], [-3.205, 4.669, 0.109], [2.793, -1.853, 13.856]], "species": ["Nb", "Nb", "Sn", "Sn", "Nb", "C", "Nb", "Sn", "C", "Nb", "Nb", "Sn", "C", "Nb", "C", "Nb", "Ta", "C", "Sn", "Ta", "C", "Ta", "Sn", "Ta"], "frac_coords": [[0.968, 0.809, 0.417], [0.865, 0.694, 0.083], [0.084, 0.916, 0.750], [0.416, 0.252, 0.751], [0.191, 0.032, 0.083], [0.500, 0.000, 0.000], [0.809, 0.968, 0.917], [0.584, 0.748, 0.249], [0.663, 0.174, 0.500], [0.694, 0.865, 0.583], [0.032, 0.191, 0.583], [0.748, 0.584, 0.749], [0.337, 0.826, 0.500], [0.306, 0.135, 0.417], [0.174, 0.663, 0.000], [0.135, 0.306, 0.917], [0.357, 0.527, 0.581], [0.000, 0.500, 0.500], [0.252, 0.416, 0.251], [0.643, 0.473, 0.419], [0.826, 0.337, 0.000], [0.527, 0.357, 0.081], [0.916, 0.084, 0.250], [0.473, 0.643, 0.919]]}

No. 19
{"formula": "Er3SiSe", "functional": "PBE-GGA", "state": "optimized geometry", "e_tot_ev_per_atom": -4.778, "spacegroup": "Pm-3m, No. 221", "crystal_system": "cubic", "lattice_angstrom": [[-2.352, -4.583, -0.708], [4.627, -2.371, -0.021], [-0.304, -0.640, 5.151]], "species": ["Er", "Si", "Se", "Er", "Er"], "frac_coords": [[0.500, 0.000, 0.500], [0.000, 0.000, 0.000], [0.500, 0.500, 0.500], [0.500, 0.500, 0.000], [0.000, 0.500, 0.500]]}

No. 20
{"formula": "Pr2ZnPd6", "functional": "PBE-GGA", "state": "optimized geometry", "formation_enthalpy_0k_mev_per_atom": -732, "spacegroup": "P-3m1, No. 164", "crystal_system": "trigonal", "lattice_angstrom": [[5.053, -2.917, 0.000], [5.053, 2.917, 0.000], [-0.001, 0.000, 5.848]], "species": ["Pd", "Pd", "Pd", "Pr", "Pd", "Pr", "Pd", "Pd", "Zn"], "frac_coords": [[0.653, 0.174, 0.688], [0.174, 0.653, 0.688], [0.826, 0.347, 0.312], [0.667, 0.667, 0.818], [0.174, 0.174, 0.688], [0.333, 0.333, 0.182], [0.826, 0.826, 0.312], [0.347, 0.826, 0.312], [0.000, 0.000, 0.000]]}

Calculated spin magnetization (μB/atom), listed in the same order as above: 0.003 0.000 0.711 0.001 0.001 0.001 0.005 2.012 0.005 0.006 0.187 1.871 0.976 0.000 0.234 0.000 0.000 0.000 0.000 0.001